Material: Tm2PaPb
Method: DFT, GGA-PBE
State: relaxed

abc: 4.859 4.859 4.540
angles: 90.00 90.00 90.00
Sites, in units of the cell vectors:
Tm  0.000  0.500  0.000
Tm  0.500  0.000  0.000
Pa  0.000  0.000  0.500
Pb  0.500  0.500  0.500

Output
Total magnetic moment in μB per cell: 0.0
Formation energy from the elements in eV per atom: -0.04
Offset from the most stable computed form in eV per atom: 0.042

Material: TmPaPb
Method: DFT, GGA-PBE
State: relaxed

abc: 5.436 5.436 3.169
angles: 90.00 90.00 120.00
Sites, in units of the cell vectors:
Tm  0.000  0.000  0.000
Pa  0.333  0.667  0.000
Pb  0.667  0.333  0.500

Output
Total magnetic moment in μB per cell: 1.3
Formation energy from the elements in eV per atom: 0.35
Offset from the most stable computed form in eV per atom: 0.279

Material: UPaPb2
Method: DFT, GGA-PBE
State: relaxed

abc: 4.819 4.819 4.658
angles: 90.00 90.00 90.00
Sites, in units of the cell vectors:
U  0.000  0.000  0.000
Pa  0.500  0.500  0.000
Pb  0.000  0.500  0.500
Pb  0.500  0.000  0.500

Output
Total magnetic moment in μB per cell: 4.1
Formation energy from the elements in eV per atom: 0.27
Offset from the most stable computed form in eV per atom: 0.069

Material: UPa2Pb
Method: DFT, GGA-PBE
State: relaxed

abc: 3.723 3.723 25.293
angles: 90.00 90.00 120.00
Sites, in units of the cell vectors:
U  0.000  0.000  0.000
U  0.333  0.667  0.667
U  0.667  0.333  0.333
Pa  0.000  0.000  0.269
Pa  0.000  0.000  0.731
Pa  0.333  0.667  0.398
Pa  0.333  0.667  0.936
Pa  0.667  0.333  0.064
Pa  0.667  0.333  0.602
Pb  0.000  0.000  0.500
Pb  0.333  0.667  0.167
Pb  0.667  0.333  0.833

Output
Total magnetic moment in μB per cell: 0.0
Formation energy from the elements in eV per atom: 0.29
Offset from the most stable computed form in eV per atom: 0.150

Material: UPa2Pb
Method: DFT, GGA-PBE
State: relaxed

abc: 3.807 3.807 6.870
angles: 90.00 90.00 90.00
Sites, in units of the cell vectors:
U  0.000  0.000  0.000
Pa  0.500  0.500  0.223
Pa  0.500  0.500  0.777
Pb  0.000  0.000  0.500

Output
Total magnetic moment in μB per cell: 2.0
Formation energy from the elements in eV per atom: 0.21
Offset from the most stable computed form in eV per atom: 0.072

Material: UPa2Pb
Method: DFT, GGA-PBE
State: relaxed

abc: 4.661 4.661 4.548
angles: 90.00 90.00 90.00
Sites, in units of the cell vectors:
U  0.000  0.000  0.000
Pa  0.000  0.500  0.500
Pa  0.500  0.000  0.500
Pb  0.500  0.500  0.000

Output
Total magnetic moment in μB per cell: 1.6
Formation energy from the elements in eV per atom: 0.14
Offset from the most stable computed form in eV per atom: 0.000

Material: UPaPb2
Method: DFT, GGA-PBE
State: relaxed

abc: 3.276 3.276 34.079
angles: 90.00 90.00 120.00
Sites, in units of the cell vectors:
U  0.000  0.000  0.000
U  0.333  0.667  0.667
U  0.667  0.333  0.333
Pa  0.000  0.000  0.500
Pa  0.333  0.667  0.167
Pa  0.667  0.333  0.833
Pb  0.000  0.000  0.250
Pb  0.000  0.000  0.750
Pb  0.333  0.667  0.417
Pb  0.333  0.667  0.917
Pb  0.667  0.333  0.083
Pb  0.667  0.333  0.583

Output
Total magnetic moment in μB per cell: 7.6
Formation energy from the elements in eV per atom: 0.20
Offset from the most stable computed form in eV per atom: 0.000

Material: UPa2Pb
Method: DFT, GGA-PBE
State: relaxed

abc: 7.400 7.400 7.400
angles: 90.00 90.00 90.00
Sites, in units of the cell vectors:
U  0.000  0.000  0.000
U  0.000  0.500  0.500
U  0.500  0.000  0.500
U  0.500  0.500  0.000
Pa  0.250  0.250  0.250
Pa  0.250  0.250  0.750
Pa  0.250  0.750  0.250
Pa  0.250  0.750  0.750
Pa  0.750  0.250  0.250
Pa  0.750  0.250  0.750
Pa  0.750  0.750  0.250
Pa  0.750  0.750  0.750
Pb  0.000  0.000  0.500
Pb  0.000  0.500  0.000
Pb  0.500  0.000  0.000
Pb  0.500  0.500  0.500

Output
Total magnetic moment in μB per cell: 17.7
Formation energy from the elements in eV per atom: 0.33
Offset from the most stable computed form in eV per atom: 0.194

- Which value of total magnetic moment does entry 8 give?
  17.7 μB per cell